Record 1
This record from Alexandria describes a geometry-optimized LaF5 structure. The functional is PBE.

abc: 4.324 4.324 4.868
angles: 90.00 90.00 120.51
Fractional positions:
1 La 0.000 0.000 0.000
2 F 0.134 0.866 0.500
3 F 0.332 0.668 0.000
4 F 0.500 0.500 0.500
5 F 0.668 0.332 0.000
6 F 0.866 0.134 0.500

## Properties
Uncorrected formation energy = -2533 meV per atom
Relative energy among the computed polymorphs = 0.147 eV/atom



Record 2
This record from Alexandria describes a geometry-optimized CrCd2P2 structure. The functional is PBE.

abc: 9.512 9.512 9.512
angles: 160.91 160.91 27.12
Fractional positions:
1 Cr 0.000 0.000 0.000
2 Cd 0.404 0.404 0.000
3 Cd 0.596 0.596 0.000
4 P 0.250 0.750 0.500
5 P 0.750 0.250 0.500

## Properties
Formation energy = 0.6211 eV/atom
Relative energy among the computed polymorphs = 0.594 eV/atom



Record 3
This record from Alexandria describes a geometry-optimized Y2Th3Ru2 structure. The functional is PBE.

abc: 6.151 6.151 8.972
angles: 108.65 108.65 36.54
Fractional positions:
1 Y 0.164 0.164 0.299
2 Y 0.836 0.836 0.701
3 Th 0.379 0.379 0.072
4 Th 0.500 0.500 0.500
5 Th 0.621 0.621 0.928
6 Ru 0.135 0.135 0.708
7 Ru 0.865 0.865 0.292

## Properties
Formation energy = -0.3309 eV/atom



Number 1: energy -29.485 eV for the cell shown. Number 2: energy -19.168 eV for the cell shown. Number 3: energy -56.056 eV for the cell shown.